(1)
VASP calculation (PBE) on ScWN2 after structural relaxation.

As for the uncorrected formation energy: -2.46 eV/f.u. The energy relative to the lowest polymorph listed for this composition is 0.171 eV per atom.

It has space group R-3m (No. 166, hexagonal axes), with a = 3.2068 Å, b = 3.2068 Å, c = 18.2388 Å, α = 90.00°, β = 90.00° and γ = 120.00°. The inequivalent atoms are Sc at (0.0000, 0.0000, 0.0000), W at (0.0000, 0.0000, 0.5000) and N at (0.0000, 0.0000, 0.3963).

***

(2)
VASP calculation (PBE) on NaRuC after structural relaxation.

The energy of formation comes out at 340 meV/atom. The energy relative to the lowest polymorph listed for this composition is 0.034 eV per atom.

It has space group C2/m (No. 12), with a = 11.525 Å, b = 2.763 Å, c = 7.309 Å, α = 90.00°, β = 129.23° and γ = 90.00°. The inequivalent atoms are Na at (0.070, 0.000, 0.368), Ru at (0.223, 0.000, 0.119) and C at (0.074, 0.500, 0.047).

***

(3)
VASP calculation (PBE) on In2OsCl after structural relaxation.

As for the uncorrected formation energy: 0.88 eV/f.u. The energy relative to the lowest polymorph listed for this composition is 0.196 eV per atom.

It has space group Amm2 (No. 38), with a = 4.999 Å, b = 2.958 Å, c = 10.848 Å, α = 90.00°, β = 90.00° and γ = 90.00°. The inequivalent atoms are In at (0.000, 0.000, 0.000), In at (0.500, 0.000, 0.251), Os at (0.000, 0.000, 0.738) and Cl at (0.500, 0.000, 0.497).

***

(4)
VASP calculation (PBE) on KTa2Se after structural relaxation.

As for the uncorrected formation energy: 3.67 eV/f.u.

It has space group I-42d (No. 122), with a = 4.991 Å, b = 4.991 Å, c = 18.985 Å, α = 90.00°, β = 90.00° and γ = 90.00°. The inequivalent atoms are K at (0.000, 0.000, 0.000), Ta at (0.009, 0.750, 0.625) and Se at (0.000, 0.000, 0.500).

***

(5)
VASP calculation (PBE) on LiNpPd14 after structural relaxation.

The energy of formation comes out at -193 meV/atom.

It has space group P4/mmm (No. 123), with a = 5.684 Å, b = 5.684 Å, c = 7.816 Å, α = 90.00°, β = 90.00° and γ = 90.00°. The inequivalent atoms are Li at (0.000, 0.000, 0.000), Np at (0.500, 0.500, 0.000), Pd at (0.000, 0.000, 0.500), Pd at (0.000, 0.500, 0.000), Pd at (0.000, 0.500, 0.500), Pd at (0.249, 0.249, 0.249) and Pd at (0.500, 0.500, 0.500).

***

(6)
VASP calculation (PBE) on Li2GeAs after structural relaxation.

The energy of formation comes out at -389 meV/atom. The energy relative to the lowest polymorph listed for this composition is 0.000 eV per atom.

It has space group P4/mmm (No. 123), with a = 4.024 Å, b = 4.024 Å, c = 4.005 Å, α = 90.00°, β = 90.00° and γ = 90.00°. The inequivalent atoms are Li at (0.000, 0.500, 0.000), Ge at (0.000, 0.000, 0.500) and As at (0.500, 0.500, 0.500).

***

Magnetic moment per entry: 0.000 0.000 0.181 0.000 1.629 0.000 μB/f.u.